A relaxed Ba3CoSb2O9 crystal, computed with GGA+U.

Space-group type: Cmcm (63)
Final energy: -186.151 eV per cell
Total magnetic moment: 2.00 μB/cell

Structure (POSCAR):
```
Ba3CoSb2O9
1.0
5.865 0.000 0.000
-2.932 5.071 0.000
0.000 0.000 14.498
O Sb Ba Co
18 4 6 2
Direct
0.168 0.335 0.416
0.664 0.832 0.084
0.832 0.665 0.916
0.483 0.516 0.250
0.832 0.665 0.584
0.168 0.335 0.084
0.967 0.484 0.750
0.484 0.967 0.250
0.516 0.033 0.750
0.517 0.484 0.750
0.832 0.168 0.584
0.832 0.168 0.916
0.033 0.516 0.250
0.168 0.832 0.416
0.336 0.168 0.916
0.664 0.832 0.416
0.168 0.832 0.084
0.336 0.168 0.584
0.333 0.667 0.152
0.667 0.333 0.848
0.667 0.333 0.652
0.333 0.667 0.348
0.000 0.000 0.750
0.333 0.666 0.912
0.000 0.000 0.250
0.667 0.334 0.412
0.667 0.334 0.088
0.333 0.666 0.588
0.000 0.000 0.000
0.000 0.000 0.500
```